DFT (PBE) results for a relaxed DyTh6Sc8 crystal.

The structure in POSCAR format:
```
DyTh6Sc8
1.0
9.2043 0.0000 0.0000
4.6022 7.9712 0.0000
4.6022 2.6570 5.7825
Dy Th Sc
1 6 8
direct
0.0000 0.0000 0.0000 Dy
0.4331 0.1779 0.7724 Th
0.8221 0.3834 0.2276 Th
0.3834 0.5669 0.2276 Th
0.6166 0.4331 0.7724 Th
0.1779 0.6166 0.7724 Th
0.5669 0.8221 0.2276 Th
0.6195 0.1307 0.2971 Sc
0.8693 0.0473 0.7029 Sc
0.0473 0.3805 0.7029 Sc
0.7742 0.7742 0.6774 Sc
0.2258 0.2258 0.3226 Sc
0.9527 0.6195 0.2971 Sc
0.1307 0.9527 0.2971 Sc
0.3805 0.8693 0.7029 Sc
```

## Properties
Magnetization   0.00 μB per atom
DFT total energy   -6.471 eV/atom